## Tb8Nd6Tm (PBE)

Data for a relaxed Tb8Nd6Tm crystal.

Computed properties:
DFT total energy   -4.502 eV/atom
Offset from the most stable computed form   58 meV/atom
Total moment   0.0 μB per formula unit
Density of states at the Fermi level   21.32 states/eV per cell
Volume   504.54 Å³/cell

Lattice parameters (Å, degrees): 9.4139 9.4139 6.5739 90.00 90.00 120.00
Space group P-3 (No. 147)
One atom of each set of equivalent atoms:
Tb 0.0922 0.6556 0.3424 x6
Tb 0.3333 0.6667 0.8804 x2
Nd 0.0330 0.7471 0.8345 x6
Tm 0.0000 0.0000 0.5000 x1